# 1
VASP calculation (PBE-GGA) on a relaxed structure of KBa8Au2.

Properties
Calculated density   4.13 g/cm3
VASP energy   -2.317 eV/atom

Cell: 10.4251 10.4251 7.6692 Å, 96.99 96.99 48.17°
Last column: nearest neighbours and their distance in Å.
Fractional positions:
K  0.0000  0.0000  0.0000  6 Ba 4.16-4.29
Ba  0.1092  0.6100  0.6124  2 Au 3.32-3.33
Ba  0.2101  0.2101  0.9053  1 Au 3.33
Ba  0.3900  0.8908  0.3876  2 Au 3.32-3.33
Ba  0.4218  0.4218  0.1709  1 Au 3.29
Ba  0.5782  0.5782  0.8291  1 Au 3.29
Ba  0.6100  0.1092  0.6124  2 Au 3.32-3.33
Ba  0.7899  0.7899  0.0947  1 Au 3.33
Ba  0.8908  0.3900  0.3876  2 Au 3.32-3.33
Au  0.2706  0.2706  0.3339  6 Ba 3.29-3.33
Au  0.7294  0.7294  0.6661  6 Ba 3.29-3.33



# 2
VASP calculation (PBE-GGA) on a relaxed structure of KBa4Au.

Properties
Distance to the lowest polymorph of the same formula   3.44 eV per formula unit
Calculated density   3.72 g/cm3
VASP energy   -1.640 eV/atom

Cell: 7.9138 7.9138 7.9138 Å, 60.00 60.00 60.00°
Last column: nearest neighbours and their distance in Å.
Fractional positions:
K  0.0000  0.0000  0.0000  12 Ba 4.64, 4 Au 4.85
Ba  0.3756  0.3756  0.3756  6 Ba 3.94-3.98
Ba  0.3756  0.3756  0.8731  6 Ba 3.94-3.98
Ba  0.3756  0.8731  0.3756  6 Ba 3.94-3.98
Ba  0.8731  0.3756  0.3756  6 Ba 3.94-3.98
Au  0.7500  0.7500  0.7500  12 Ba 4.64, 4 K 4.85



# 3
VASP calculation (PBE-GGA) on a relaxed structure of K2BaAu.

Properties
Distance to the lowest polymorph of the same formula   0.69 eV per formula unit
Calculated density   3.35 g/cm3
VASP energy   -2.008 eV/atom

Cell: 4.3645 6.5843 14.2458 Å, 90.00 90.00 90.00°
Last column: nearest neighbours and their distance in Å.
Fractional positions:
K  0.0000  0.0000  0.0000  2 Au 3.39
K  0.0000  0.5000  0.1650  4 Au 3.96, 4 K 4.04-4.36, 2 Ba 4.18
K  0.5000  0.0000  0.6650  4 Au 3.96, 4 K 4.04-4.36, 2 Ba 4.18
K  0.5000  0.5000  0.5000  2 Au 3.39
Ba  0.0000  0.0000  0.3454  2 Au 3.19
Ba  0.5000  0.5000  0.8454  2 Au 3.19
Au  0.0000  0.5000  0.6820  2 Ba 3.19, 2 K 3.39
Au  0.5000  0.0000  0.1820  2 Ba 3.19, 2 K 3.39



# 4
VASP calculation (PBE-GGA) on a relaxed structure of K2Ba6Au.

Properties
Calculated density   2.90 g/cm3
VASP energy   -1.829 eV/atom

Cell: 9.6219 9.6219 7.8442 Å, 90.00 90.00 120.00°
Last column: nearest neighbours and their distance in Å.
Fractional positions:
K  0.3333  0.6667  0.0000  6 Ba 4.11
K  0.6667  0.3333  0.0000  6 Ba 4.11
Ba  0.0000  0.2748  0.7305  1 Au 3.20
Ba  0.0000  0.7252  0.2695  1 Au 3.20
Ba  0.2748  0.0000  0.7305  1 Au 3.20
Ba  0.2748  0.2748  0.2695  1 Au 3.20
Ba  0.7252  0.0000  0.2695  1 Au 3.20
Ba  0.7252  0.7252  0.7305  1 Au 3.20
Au  0.0000  0.0000  0.5000  6 Ba 3.20



# 5
VASP calculation (PBE-GGA) on a relaxed structure of K2BaAu.

Properties
Distance to the lowest polymorph of the same formula   0.99 eV per formula unit
Calculated density   3.83 g/cm3
VASP energy   -1.931 eV/atom

Cell: 6.9042 7.7795 6.6509 Å, 90.00 90.00 90.00°
Last column: nearest neighbours and their distance in Å.
Fractional positions:
K  0.0000  0.2064  0.0000  3 K 3.21-3.52
K  0.0000  0.7936  0.0000  3 K 3.21-3.52
K  0.5000  0.2936  0.0000  3 K 3.21-3.52
K  0.5000  0.7064  0.0000  3 K 3.21-3.52
Ba  0.0000  0.5000  0.5000  2 Au 3.45
Ba  0.5000  0.0000  0.5000  2 Au 3.45
Au  0.0000  0.0000  0.5000  2 Ba 3.45, 4 K 3.69
Au  0.5000  0.5000  0.5000  2 Ba 3.45, 4 K 3.69



# 6
VASP calculation (PBE-GGA) on a relaxed structure of KBa6Au2.

Properties
Calculated density   4.16 g/cm3
VASP energy   -2.387 eV/atom

Cell: 9.2215 9.2215 9.2215 Å, 55.88 55.88 55.88°
Last column: nearest neighbours and their distance in Å.
Fractional positions:
K  0.0000  0.0000  0.0000  3 Ba 3.91
Ba  0.0013  0.4538  0.5487  2 Au 3.30-3.31
Ba  0.1740  0.8292  0.5003  2 Au 3.33
Ba  0.4538  0.5487  0.0013  2 Au 3.30-3.31
Ba  0.5003  0.1740  0.8292  2 Au 3.33
Ba  0.5487  0.0013  0.4538  2 Au 3.30-3.31
Ba  0.8292  0.5003  0.1740  2 Au 3.33
Au  0.4261  0.4261  0.4261  6 Ba 3.30-3.33, 1 Au 3.49
Au  0.5763  0.5763  0.5763  6 Ba 3.31-3.33, 1 Au 3.49



# 7
VASP calculation (PBE-GGA) on a relaxed structure of KBa4Au2.

Properties
Calculated density   3.80 g/cm3
VASP energy   -2.567 eV/atom

Cell: 22.3791 4.8467 8.2905 Å, 90.00 107.11 90.00°
Last column: nearest neighbours and their distance in Å.
Fractional positions:
K  0.0000  0.0000  0.0000  6 Ba 4.51-4.75, 2 K 4.85
K  0.5000  0.5000  0.0000  6 Ba 4.51-4.75, 2 K 4.85
Ba  0.1644  0.0000  0.5153  3 Au 3.29
Ba  0.1727  0.5000  0.0255  3 Au 3.28
Ba  0.3273  0.0000  0.9745  3 Au 3.28
Ba  0.3356  0.5000  0.4847  3 Au 3.29
Ba  0.6644  0.5000  0.5153  3 Au 3.29
Ba  0.6727  0.0000  0.0255  3 Au 3.28
Ba  0.8273  0.5000  0.9745  3 Au 3.28
Ba  0.8356  0.0000  0.4847  3 Au 3.29
Au  0.2481  0.5000  0.7410  6 Ba 3.28-3.29
Au  0.2519  0.0000  0.2590  6 Ba 3.28-3.29
Au  0.7481  0.0000  0.7410  6 Ba 3.28-3.29
Au  0.7519  0.5000  0.2590  6 Ba 3.28-3.29



# 8
VASP calculation (PBE-GGA) on a relaxed structure of KBa8Au5.

Properties
Calculated density   5.15 g/cm3
VASP energy   -2.872 eV/atom

Cell: 12.5945 12.5945 11.8183 Å, 102.94 102.94 22.01°
Last column: nearest neighbours and their distance in Å.
Fractional positions:
K  0.0000  0.0000  0.0000  10 Ba 4.81-4.91, 2 K 4.81
Ba  0.0739  0.0739  0.6556  4 Au 3.30-3.36
Ba  0.2623  0.2623  0.3383  5 Au 3.32-3.38
Ba  0.3271  0.3271  0.0039  3 Au 3.28-3.30
Ba  0.4062  0.4062  0.6593  3 Au 3.27-3.30
Ba  0.5938  0.5938  0.3407  3 Au 3.27-3.30
Ba  0.6729  0.6729  0.9961  3 Au 3.28-3.30
Ba  0.7377  0.7377  0.6617  5 Au 3.32-3.38
Ba  0.9261  0.9261  0.3444  4 Au 3.30-3.36
Au  0.1657  0.1657  0.4925  6 Ba 3.27-3.37
Au  0.2016  0.2016  0.8309  6 Ba 3.28-3.38
Au  0.5000  0.5000  0.5000  6 Ba 3.30-3.31
Au  0.7984  0.7984  0.1691  6 Ba 3.28-3.38
Au  0.8343  0.8343  0.5075  6 Ba 3.27-3.37



# 9
VASP calculation (PBE-GGA) on a relaxed structure of KBa2Au.

Properties
Distance to the lowest polymorph of the same formula   0.16 eV per formula unit
Calculated density   3.50 g/cm3
VASP energy   -2.387 eV/atom

Cell: 4.7331 4.7331 24.9698 Å, 90.00 90.00 120.00°
Last column: nearest neighbours and their distance in Å.
Fractional positions:
K  0.3333  0.6667  0.2500  2 Ba 4.44, 6 K 4.73
K  0.6667  0.3333  0.7500  2 Ba 4.44, 6 K 4.73
Ba  0.3333  0.6667  0.0720  3 Au 3.27
Ba  0.3333  0.6667  0.4280  3 Au 3.27
Ba  0.6667  0.3333  0.5720  3 Au 3.27
Ba  0.6667  0.3333  0.9280  3 Au 3.27
Au  0.0000  0.0000  0.0000  6 Ba 3.27
Au  0.0000  0.0000  0.5000  6 Ba 3.27



# 10
VASP calculation (PBE-GGA) on a relaxed structure of KBa2Au2.

Properties
Distance to the lowest polymorph of the same formula   0.00 eV per formula unit
Calculated density   6.30 g/cm3
VASP energy   -2.830 eV/atom

Cell: 9.0883 9.0883 4.5132 Å, 90.00 90.00 90.00°
Last column: nearest neighbours and their distance in Å.
Fractional positions:
K  0.0000  0.0000  0.0000  4 Au 3.57
K  0.5000  0.5000  0.0000  4 Au 3.57
Ba  0.1587  0.3413  0.5000  6 Au 3.46-3.55
Ba  0.3413  0.8413  0.5000  6 Au 3.46-3.55
Ba  0.6587  0.1587  0.5000  6 Au 3.46-3.55
Ba  0.8413  0.6587  0.5000  6 Au 3.46-3.55
Au  0.1282  0.6282  0.0000  1 Au 3.30, 6 Ba 3.46-3.55, 2 K 3.57
Au  0.3718  0.1282  0.0000  1 Au 3.30, 6 Ba 3.46-3.55, 2 K 3.57
Au  0.6282  0.8718  0.0000  1 Au 3.30, 6 Ba 3.46-3.55, 2 K 3.57
Au  0.8718  0.3718  0.0000  1 Au 3.30, 6 Ba 3.46-3.55, 2 K 3.57



# 11
VASP calculation (PBE-GGA) on a relaxed structure of KBa2Au2.

Properties
Distance to the lowest polymorph of the same formula   0.55 eV per formula unit
Calculated density   6.44 g/cm3
VASP energy   -2.720 eV/atom

Cell: 9.5623 9.5623 3.9905 Å, 90.00 90.00 90.00°
Last column: nearest neighbours and their distance in Å.
Fractional positions:
K  0.0000  0.0000  0.0000  4 Ba 3.68, 2 K 3.99
K  0.5000  0.5000  0.0000  4 Ba 3.68, 2 K 3.99
Ba  0.1423  0.3577  0.0000  6 Au 3.44, 2 K 3.68
Ba  0.3577  0.8577  0.0000  6 Au 3.44, 2 K 3.68
Ba  0.6423  0.1423  0.0000  6 Au 3.44, 2 K 3.68
Ba  0.8577  0.6423  0.0000  6 Au 3.44, 2 K 3.68
Au  0.1501  0.6501  0.5000  6 Ba 3.44
Au  0.3499  0.1501  0.5000  6 Ba 3.44
Au  0.6501  0.8499  0.5000  6 Ba 3.44
Au  0.8499  0.3499  0.5000  6 Ba 3.44



# 12
VASP calculation (PBE-GGA) on a relaxed structure of KBaAu4.

Properties
Distance to the lowest polymorph of the same formula   0.57 eV per formula unit
Calculated density   10.73 g/cm3
VASP energy   -3.099 eV/atom

Cell: 5.9544 5.9544 5.9544 Å, 60.00 60.00 60.00°
Last column: nearest neighbours and their distance in Å.
Fractional positions:
K  0.0000  0.0000  0.0000  12 Au 3.49, 4 Ba 3.65
Ba  0.2500  0.2500  0.2500  12 Au 3.49, 4 K 3.65
Au  0.1227  0.6258  0.6258  6 Au 2.96-3.00
Au  0.6258  0.1227  0.6258  6 Au 2.96-3.00
Au  0.6258  0.6258  0.1227  6 Au 2.96-3.00
Au  0.6258  0.6258  0.6258  6 Au 2.96-3.00



no.,E_form (eV per atom)
1,-0.22
2,0.37
3,-0.16
4,0.06
5,-0.08
6,-0.25
7,-0.38
8,-0.52
9,-0.33
10,-0.53
11,-0.42
12,-0.41